# 1
Below is a geometry-optimized HoGaPt structure, with properties calculated at the GGA-PBEsol level.

The structure in POSCAR format:
```
HoGaPt
1.0
-3.679 -1.339 1.942
3.215 -0.195 5.957
-1.942 7.199 1.284
Pt Ho Ga
4 4 4
Direct
0.250 0.775 0.902 Pt
0.750 0.225 0.098 Pt
0.750 0.725 0.402 Pt
0.250 0.275 0.598 Pt
0.250 0.516 0.198 Ho
0.250 0.016 0.302 Ho
0.750 0.984 0.698 Ho
0.750 0.484 0.802 Ho
0.750 0.329 0.425 Ga
0.250 0.671 0.575 Ga
0.750 0.829 0.075 Ga
0.250 0.171 0.925 Ga
```

Properties
- M_tot (μB per cell) = 0.0
- ΔH_f (0 K) (eV per atom) = -1.13
- E (eV per atom) = -6.217

# 2
Below is a geometry-optimized Ho4Ga12Pt structure, with properties calculated at the GGA-PBEsol level.

The structure in POSCAR format:
```
Ho4Ga12Pt
1.0
7.329 0.000 0.000
-2.443 6.909 0.000
-2.443 -3.455 5.984
Ga Ho Pt
12 4 1
Direct
0.000 0.298 0.298 Ga
0.500 0.750 0.250 Ga
0.250 0.500 0.750 Ga
0.250 0.750 0.500 Ga
0.500 0.250 0.750 Ga
0.298 0.298 0.000 Ga
0.750 0.500 0.250 Ga
0.750 0.250 0.500 Ga
0.702 0.702 0.000 Ga
0.000 0.702 0.702 Ga
0.702 0.000 0.702 Ga
0.298 0.000 0.298 Ga
0.500 0.500 0.500 Ho
0.000 0.000 0.500 Ho
0.500 0.000 0.000 Ho
0.000 0.500 0.000 Ho
0.000 0.000 0.000 Pt
```

Properties
- M_tot (μB per cell) = 0.0
- ΔH_f (0 K) (eV per atom) = -0.68
- E (eV per atom) = -4.608

# 3
Below is a geometry-optimized Ho2Ga9Rh3 structure, with properties calculated at the GGA-PBEsol level.

The structure in POSCAR format:
```
Ho2Ga9Rh3
1.0
7.424 0.009 0.000
-3.688 6.443 0.000
0.000 0.000 9.360
Ga Rh Ho
18 6 4
Direct
0.999 0.665 0.080 Ga
0.667 0.667 0.566 Ga
0.452 0.661 0.250 Ga
0.333 0.333 0.434 Ga
0.335 0.001 0.920 Ga
0.873 0.873 0.250 Ga
0.001 0.335 0.580 Ga
0.127 0.127 0.750 Ga
0.548 0.339 0.750 Ga
0.999 0.665 0.420 Ga
0.665 0.999 0.420 Ga
0.001 0.335 0.920 Ga
0.333 0.333 0.066 Ga
0.339 0.548 0.750 Ga
0.667 0.667 0.934 Ga
0.665 0.999 0.080 Ga
0.335 0.001 0.580 Ga
0.661 0.452 0.250 Ga
0.000 0.000 0.500 Rh
0.672 0.328 0.500 Rh
0.328 0.672 0.000 Rh
0.672 0.328 0.000 Rh
0.000 0.000 0.000 Rh
0.328 0.672 0.500 Rh
0.330 0.002 0.250 Ho
0.670 0.998 0.750 Ho
0.002 0.330 0.250 Ho
0.998 0.670 0.750 Ho
```

Properties
- M_tot (μB per cell) = 0.0
- ΔH_f (0 K) (eV per atom) = -0.76
- E (eV per atom) = -5.354

# 4
Below is a geometry-optimized Ho3Ga8Rh3 structure, with properties calculated at the GGA-PBEsol level.

The structure in POSCAR format:
```
Ho3Ga8Rh3
1.0
4.121 0.000 0.000
2.061 7.746 0.082
2.061 1.701 7.558
Ho Rh Ga
3 3 8
Direct
0.500 0.500 0.500 Ho
0.171 0.829 0.829 Ho
0.829 0.171 0.171 Ho
0.000 0.780 0.220 Rh
0.500 0.000 0.000 Rh
0.000 0.220 0.780 Rh
0.377 0.341 0.906 Ga
0.830 0.540 0.800 Ga
0.623 0.094 0.659 Ga
0.377 0.906 0.341 Ga
0.170 0.200 0.460 Ga
0.830 0.800 0.540 Ga
0.623 0.659 0.094 Ga
0.170 0.460 0.200 Ga
```

Properties
- M_tot (μB per cell) = 0.0
- ΔH_f (0 K) (eV per atom) = -0.75
- E (eV per atom) = -5.463

# 5
Below is a geometry-optimized Ho2Ga9Ru3 structure, with properties calculated at the GGA-PBEsol level.

The structure in POSCAR format:
```
Ho2Ga9Ru3
1.0
7.345 0.046 0.000
-3.581 6.413 0.000
0.000 0.000 9.541
Ho Ga Ru
4 18 6
Direct
0.323 0.002 0.250 Ho
0.998 0.677 0.750 Ho
0.002 0.323 0.250 Ho
0.677 0.998 0.750 Ho
0.443 0.659 0.250 Ga
0.010 0.339 0.578 Ga
0.339 0.010 0.578 Ga
0.661 0.990 0.422 Ga
0.341 0.557 0.750 Ga
0.134 0.134 0.750 Ga
0.662 0.662 0.562 Ga
0.339 0.010 0.922 Ga
0.557 0.341 0.750 Ga
0.338 0.338 0.062 Ga
0.662 0.662 0.938 Ga
0.990 0.661 0.078 Ga
0.338 0.338 0.438 Ga
0.990 0.661 0.422 Ga
0.661 0.990 0.078 Ga
0.659 0.443 0.250 Ga
0.010 0.339 0.922 Ga
0.866 0.866 0.250 Ga
0.000 0.000 0.000 Ru
0.323 0.677 0.500 Ru
0.677 0.323 0.000 Ru
0.000 0.000 0.500 Ru
0.323 0.677 0.000 Ru
0.677 0.323 0.500 Ru
```

Properties
- M_tot (μB per cell) = 0.0
- ΔH_f (0 K) (eV per atom) = -0.57
- E (eV per atom) = -5.602

# 6
Below is a geometry-optimized HoTi2Ga4 structure, with properties calculated at the GGA-PBEsol level.

The structure in POSCAR format:
```
HoTi2Ga4
1.0
-0.370 4.535 -2.848
-4.812 1.576 -1.923
-0.974 4.688 2.533
Ga Ti Ho
4 2 1
Direct
0.303 0.000 0.394 Ga
0.303 0.394 0.000 Ga
0.697 0.606 0.000 Ga
0.697 0.000 0.606 Ga
0.250 0.500 0.500 Ti
0.750 0.500 0.500 Ti
0.000 0.000 0.000 Ho
```

Properties
- M_tot (μB per cell) = 0.0
- ΔH_f (0 K) (eV per atom) = -0.59
- E (eV per atom) = -5.583

# 7
Below is a geometry-optimized GaI3 structure, with properties calculated at the GGA-PBEsol level.

The structure in POSCAR format:
```
GaI3
1.0
6.051 0.000 0.000
0.000 9.558 0.105
0.000 -3.603 11.009
I Ga
12 4
Direct
0.745 0.670 0.053 I
0.730 0.001 0.379 I
0.270 0.999 0.621 I
0.230 0.999 0.121 I
0.248 0.666 0.784 I
0.770 0.001 0.879 I
0.755 0.670 0.553 I
0.748 0.334 0.716 I
0.252 0.666 0.284 I
0.255 0.330 0.947 I
0.752 0.334 0.216 I
0.245 0.330 0.447 I
0.998 0.803 0.951 Ga
0.498 0.197 0.549 Ga
0.002 0.197 0.049 Ga
0.502 0.803 0.451 Ga
```

Properties
- M_tot (μB per cell) = 0.0
- ΔE_f (raw) (kJ per mole of atoms) = -41.5
- E (eV per atom) = -2.591

# 8
Below is a geometry-optimized In3GaI structure, with properties calculated at the GGA-PBEsol level.

The structure in POSCAR format:
```
In3GaI
1.0
5.383 0.000 0.000
0.000 5.383 0.000
0.000 0.000 5.383
In I Ga
3 1 1
Direct
0.000 0.000 0.500 In
0.500 0.000 0.000 In
0.000 0.500 0.000 In
0.500 0.500 0.500 I
0.000 0.000 0.000 Ga
```

Properties
- M_tot (μB per cell) = 0.0
- ΔE_f (raw) (kJ per mole of atoms) = 6.5
- E (eV per atom) = -2.743

# 9
Below is a geometry-optimized InGaSbI2 structure, with properties calculated at the GGA-PBEsol level.

The structure in POSCAR format:
```
InGaSbI2
1.0
5.318 0.000 0.000
0.000 5.604 0.000
0.000 0.000 5.604
Ga Sb I In
1 1 2 1
Direct
0.000 0.000 0.000 Ga
0.500 0.000 0.000 Sb
0.000 0.000 0.500 I
0.000 0.500 0.000 I
0.500 0.500 0.500 In
```

Properties
- M_tot (μB per cell) = 0.0
- ΔE_f (raw) (kJ per mole of atoms) = 9.8
- E (eV per atom) = -2.782

# 10
Below is a geometry-optimized GaIr3I structure, with properties calculated at the GGA-PBEsol level.

The structure in POSCAR format:
```
GaIr3I
1.0
-2.055 -4.333 0.590
4.252 -2.132 -0.849
1.022 0.158 4.720
Ir Ga I
3 1 1
Direct
0.000 0.500 0.000 Ir
0.000 0.000 0.500 Ir
0.500 0.000 0.000 Ir
0.500 0.500 0.500 Ga
0.000 0.000 0.000 I
```

Properties
- M_tot (μB per cell) = 0.8
- ΔE_f (raw) (kJ per mole of atoms) = 203.3
- E (eV per atom) = -4.809

# 11
Below is a geometry-optimized Ga3IrI structure, with properties calculated at the GGA-PBEsol level.

The structure in POSCAR format:
```
Ga3IrI
1.0
-0.243 3.428 -3.437
-1.032 -3.399 -3.318
-4.743 0.564 0.898
Ga I Ir
3 1 1
Direct
0.000 0.500 0.000 Ga
0.500 0.000 0.000 Ga
0.000 0.000 0.500 Ga
0.500 0.500 0.500 I
0.000 0.000 0.000 Ir
```

Properties
- M_tot (μB per cell) = 0.0
- ΔE_f (raw) (kJ per mole of atoms) = -29.6
- E (eV per atom) = -4.629

# 12
Below is a geometry-optimized GaIr2I structure, with properties calculated at the GGA-PBEsol level.

The structure in POSCAR format:
```
GaIr2I
1.0
4.542 0.000 0.000
2.271 3.934 0.000
2.271 1.311 3.709
Ga Ir I
1 2 1
Direct
0.000 0.000 0.000 Ga
0.250 0.250 0.250 Ir
0.750 0.750 0.750 Ir
0.500 0.500 0.500 I
```

Properties
- M_tot (μB per cell) = 0.0
- ΔE_f (raw) (kJ per mole of atoms) = 67.6
- E (eV per atom) = -5.487

# 13
Below is a geometry-optimized KGa2I structure, with properties calculated at the GGA-PBEsol level.

The structure in POSCAR format:
```
KGa2I
1.0
5.508 0.000 0.000
2.754 4.770 0.000
2.754 1.590 4.498
Ga K I
2 1 1
Direct
0.250 0.250 0.250 Ga
0.750 0.750 0.750 Ga
0.000 0.000 0.000 K
0.500 0.500 0.500 I
```

Properties
- M_tot (μB per cell) = 0.0
- ΔE_f (raw) (kJ per mole of atoms) = 14.4
- E (eV per atom) = -2.246

# 14
Below is a geometry-optimized KGaI4 structure, with properties calculated at the GGA-PBEsol level.

The structure in POSCAR format:
```
KGaI4
1.0
-4.687 -2.461 5.721
3.464 -7.403 -0.346
10.153 5.812 10.819
I K Ga
16 4 4
Direct
0.153 0.010 0.662 I
0.765 0.575 0.468 I
0.735 0.575 0.968 I
0.407 0.413 0.781 I
0.156 0.864 0.914 I
0.344 0.864 0.414 I
0.265 0.425 0.032 I
0.844 0.136 0.086 I
0.593 0.587 0.219 I
0.347 0.010 0.162 I
0.847 0.990 0.338 I
0.653 0.990 0.838 I
0.656 0.136 0.586 I
0.907 0.587 0.719 I
0.093 0.413 0.281 I
0.235 0.425 0.532 I
0.994 0.739 0.141 K
0.506 0.739 0.641 K
0.006 0.261 0.859 K
0.494 0.261 0.359 K
0.637 0.757 0.361 Ga
0.137 0.243 0.139 Ga
0.863 0.757 0.861 Ga
0.363 0.243 0.639 Ga
```

Properties
- M_tot (μB per cell) = 0.0
- ΔE_f (raw) (kJ per mole of atoms) = -79.8
- E (eV per atom) = -2.750

# 15
Below is a geometry-optimized LaGaI2N structure, with properties calculated at the GGA-PBEsol level.

The structure in POSCAR format:
```
LaGaI2N
1.0
-3.017 -2.546 -1.258
4.324 -4.534 -1.193
-0.643 -2.182 5.959
I N Ga La
2 1 1 1
Direct
0.000 0.500 0.000 I
0.000 0.000 0.500 I
0.500 0.000 0.000 N
0.500 0.500 0.500 Ga
0.000 0.000 0.000 La
```

Properties
- M_tot (μB per cell) = 0.0
- ΔE_f (raw) (kJ per mole of atoms) = -38.0
- E (eV per atom) = -4.543

# 16
Below is a geometry-optimized LaScGaI2 structure, with properties calculated at the GGA-PBEsol level.

The structure in POSCAR format:
```
LaScGaI2
1.0
6.039 0.000 0.000
0.000 6.039 0.000
0.000 0.000 5.926
I La Ga Sc
2 1 1 1
Direct
0.000 0.500 0.000 I
0.500 0.000 0.000 I
0.000 0.000 0.000 La
0.500 0.500 0.500 Ga
0.000 0.000 0.500 Sc
```

Properties
- M_tot (μB per cell) = 0.0
- ΔE_f (raw) (kJ per mole of atoms) = 25.4
- E (eV per atom) = -3.502

# 17
Below is a geometry-optimized LiGaI3 structure, with properties calculated at the GGA-PBEsol level.

The structure in POSCAR format:
```
LiGaI3
1.0
-6.410 -2.701 -1.326
-0.816 -1.338 8.208
-4.518 10.132 1.203
I Li Ga
12 4 4
Direct
0.663 0.067 0.250 I
0.173 0.188 0.065 I
0.827 0.812 0.935 I
0.341 0.681 0.432 I
0.857 0.542 0.250 I
0.143 0.458 0.750 I
0.337 0.933 0.750 I
0.341 0.681 0.068 I
0.659 0.319 0.932 I
0.659 0.319 0.568 I
0.827 0.812 0.565 I
0.173 0.188 0.435 I
0.500 0.000 0.000 Li
0.000 0.500 0.500 Li
0.500 0.000 0.500 Li
0.000 0.500 0.000 Li
0.868 0.242 0.750 Ga
0.132 0.758 0.250 Ga
0.027 0.032 0.250 Ga
0.973 0.968 0.750 Ga
```

Properties
- M_tot (μB per cell) = 0.0
- ΔE_f (raw) (kJ per mole of atoms) = -72.9
- E (eV per atom) = -2.877

# 18
Below is a geometry-optimized LiGaI2 structure, with properties calculated at the GGA-PBEsol level.

The structure in POSCAR format:
```
LiGaI2
1.0
7.781 0.000 0.000
0.000 7.781 0.000
-3.890 -3.890 4.266
Ga I Li
2 4 2
Direct
0.000 0.000 0.000 Ga
0.250 0.750 0.500 Ga
0.125 0.167 0.750 I
0.833 0.375 0.250 I
0.625 0.583 0.750 I
0.417 0.875 0.250 I
0.500 0.500 0.000 Li
0.750 0.250 0.500 Li
```

Properties
- M_tot (μB per cell) = 0.0
- ΔE_f (raw) (kJ per mole of atoms) = -63.5
- E (eV per atom) = -2.868

# 19
Below is a geometry-optimized LiGa2I structure, with properties calculated at the GGA-PBEsol level.

The structure in POSCAR format:
```
LiGa2I
1.0
5.198 0.000 0.000
2.599 4.502 0.000
2.599 1.501 4.244
Ga Li I
2 1 1
Direct
0.250 0.250 0.250 Ga
0.750 0.750 0.750 Ga
0.000 0.000 0.000 Li
0.500 0.500 0.500 I
```

Properties
- M_tot (μB per cell) = 0.0
- ΔE_f (raw) (kJ per mole of atoms) = 19.2
- E (eV per atom) = -2.404